Computed, not measured: a geometry-optimized ZrCr2Se structure at the GGA-PBE level of DFT.

a = 3.664 Å, b = 3.664 Å, c = 9.299 Å
α = 90.00°, β = 90.00°, γ = 90.00°
Space group I4/mmm (No. 139)
Asymmetric unit:
Zr: 0.000 0.000 0.000 [2 per cell]
Cr: 0.000 0.500 0.250 [4 per cell]
Se: 0.000 0.000 0.500 [2 per cell]

Summary:
As for the total energy: -61.3 eV/cell. The formation energy from raw total energies comes out at 0.16 eV/atom. The calculation puts the total magnetization at 0.001 μB per formula unit.



Computed, not measured: a geometry-optimized ZnIn2Cl8 structure at the GGA-PBE level of DFT.

a = 11.723 Å, b = 10.308 Å, c = 6.269 Å
α = 90.00°, β = 94.24°, γ = 90.00°
Space group C2/m (No. 12)
Asymmetric unit:
Zn: 0.000 0.000 0.000 [2 per cell]
In: 0.210 0.000 0.640 [4 per cell]
Cl: 0.091 0.168 0.789 [8 per cell]
Cl: 0.097 0.500 0.249 [4 per cell]
Cl: 0.188 0.000 0.255 [4 per cell]

Summary:
The polymorph energy (0 for the lowest one) comes out at 0.044 eV/atom. As for the total energy: -65.6 eV/cell. The formation energy from raw total energies comes out at -1.03 eV/atom. The calculation puts the total magnetization at 0.133 μB per formula unit.



Computed, not measured: a geometry-optimized CaEr2NpN4 structure at the GGA-PBE level of DFT.

a = 5.926 Å, b = 3.455 Å, c = 5.937 Å
α = 90.00°, β = 108.23°, γ = 90.00°
Space group P2/m (No. 10)
Asymmetric unit:
Ca: 0.000 0.000 0.000 [1 per cell]
Er: 0.500 0.000 0.500 [1 per cell]
Er: 0.500 0.500 0.000 [1 per cell]
Np: 0.000 0.500 0.500 [1 per cell]
N: 0.243 0.500 0.280 [2 per cell]
N: 0.255 0.000 0.745 [2 per cell]

Summary:
As for the total energy: -68.9 eV/cell. The formation energy from raw total energies comes out at -1.44 eV/atom. The calculation puts the total magnetization at 2.881 μB per formula unit.



Computed, not measured: a geometry-optimized Mg2IrOs structure at the GGA-PBE level of DFT.

a = 3.910 Å, b = 3.910 Å, c = 8.187 Å
α = 90.00°, β = 90.00°, γ = 90.00°
Space group I4/mmm (No. 139)
Asymmetric unit:
Mg: 0.000 0.500 0.250 [4 per cell]
Ir: 0.000 0.000 0.000 [2 per cell]
Os: 0.000 0.000 0.500 [2 per cell]

Summary:
The energy relative to the elements comes out at 113 meV per atom. The polymorph energy (0 for the lowest one) comes out at 0.192 eV/atom. As for the total energy: -45.7 eV/cell. The calculation puts the total magnetization at 0.829 μB per formula unit.



Computed, not measured: a geometry-optimized Tc3RhO12 structure at the GGA-PBE level of DFT.

a = 8.7593 Å, b = 8.7593 Å, c = 27.5639 Å
α = 90.00°, β = 90.00°, γ = 120.00°
Space group R3c (No. 161, hexagonal axes)
Asymmetric unit:
Tc: 0.0258 0.3911 0.0000 [18 per cell]
Rh: 0.0000 0.0000 0.2433 [6 per cell]
O: 0.1005 0.2184 0.2847 [18 per cell]
O: 0.1516 0.3970 0.6442 [18 per cell]
O: 0.1906 0.4048 0.0363 [18 per cell]
O: 0.2137 0.1041 0.7007 [18 per cell]

Summary:
As for the total energy: -703.3 eV/cell. The formation energy from raw total energies comes out at -1.20 eV/atom. The calculation puts the total magnetization at 0.000 μB per formula unit.



Computed, not measured: a geometry-optimized SrGeAs2 structure at the GGA-PBE level of DFT.

a = 7.280 Å, b = 7.280 Å, c = 8.315 Å
α = 90.00°, β = 90.00°, γ = 90.00°
Space group I-42d (No. 122)
Asymmetric unit:
Sr: 0.000 0.000 0.000 [4 per cell]
Ge: 0.000 0.000 0.500 [4 per cell]
As: 0.174 0.250 0.625 [8 per cell]

Summary:
The energy relative to the elements comes out at -536 meV per atom. As for the total energy: -71.0 eV/cell. The calculation puts the total magnetization at 0.000 μB per formula unit.



Computed, not measured: a geometry-optimized DyTm2Th structure at the GGA-PBE level of DFT.

a = 3.5359 Å, b = 3.5359 Å, c = 34.4191 Å
α = 90.00°, β = 90.00°, γ = 120.00°
Space group R3m (No. 160, hexagonal axes)
Asymmetric unit:
Dy: 0.0000 0.0000 0.0000 [3 per cell]
Tm: 0.0000 0.0000 0.4161 [3 per cell]
Tm: 0.0000 0.0000 0.5843 [3 per cell]
Th: 0.0000 0.0000 0.8342 [3 per cell]

Summary:
The energy relative to the elements comes out at 35 meV per atom. The polymorph energy (0 for the lowest one) comes out at 0.012 eV/atom. As for the total energy: -62.5 eV/cell. The calculation puts the total magnetization at 0.000 μB per formula unit.



Computed, not measured: a geometry-optimized La12PrNi6 structure at the GGA-PBE level of DFT.

a = 10.317 Å, b = 10.317 Å, c = 10.317 Å
α = 90.00°, β = 90.00°, γ = 90.00°
Space group Im-3 (No. 204)
Asymmetric unit:
La: 0.000 0.185 0.314 [24 per cell]
Pr: 0.000 0.000 0.000 [2 per cell]
Ni: 0.000 0.377 0.500 [12 per cell]

Summary:
The energy relative to the elements comes out at -213 meV per atom. As for the total energy: -205.3 eV/cell. The calculation puts the total magnetization at 0.000 μB per formula unit.



Copy entry 2 word for word.
Computed, not measured: a geometry-optimized ZnIn2Cl8 structure at the GGA-PBE level of DFT.

a = 11.723 Å, b = 10.308 Å, c = 6.269 Å
α = 90.00°, β = 94.24°, γ = 90.00°
Space group C2/m (No. 12)
Asymmetric unit:
Zn: 0.000 0.000 0.000 [2 per cell]
In: 0.210 0.000 0.640 [4 per cell]
Cl: 0.091 0.168 0.789 [8 per cell]
Cl: 0.097 0.500 0.249 [4 per cell]
Cl: 0.188 0.000 0.255 [4 per cell]

Summary:
The polymorph energy (0 for the lowest one) comes out at 0.044 eV/atom. As for the total energy: -65.6 eV/cell. The formation energy from raw total energies comes out at -1.03 eV/atom. The calculation puts the total magnetization at 0.133 μB per formula unit.



Copy entry 7 word for word.
Computed, not measured: a geometry-optimized DyTm2Th structure at the GGA-PBE level of DFT.

a = 3.5359 Å, b = 3.5359 Å, c = 34.4191 Å
α = 90.00°, β = 90.00°, γ = 120.00°
Space group R3m (No. 160, hexagonal axes)
Asymmetric unit:
Dy: 0.0000 0.0000 0.0000 [3 per cell]
Tm: 0.0000 0.0000 0.4161 [3 per cell]
Tm: 0.0000 0.0000 0.5843 [3 per cell]
Th: 0.0000 0.0000 0.8342 [3 per cell]

Summary:
The energy relative to the elements comes out at 35 meV per atom. The polymorph energy (0 for the lowest one) comes out at 0.012 eV/atom. As for the total energy: -62.5 eV/cell. The calculation puts the total magnetization at 0.000 μB per formula unit.



total magnetization of number 7 (DyTm2Th)?
0.000 μB per formula unit